Entry 1:
## SrPr2Rh (PBE)

Data for SrPr2Rh after structural relaxation.

The value obtained for the volume is 520 Å³ per cell. Its polymorph energy (0 for the lowest one) is 0.042 eV per atom. The calculation puts the total energy at -79.02 eV per cell.

The structure belongs to space group Cmcm (No. 63); the cell edges are 4.121, 12.992 and 9.708 Å and the angles 90.00°, 90.00° and 90.00°. The distinct sites, in fractional coordinates, are Sr at (0.000, 0.073, 0.250), Pr at (0.000, 0.352, 0.067) and Rh at (0.000, 0.229, 0.750).

***

Entry 2:
## SrPr2Rh9 (PBE)

Data for SrPr2Rh9 after structural relaxation.

The value obtained for the volume is 664 Å³ per cell. The calculation puts the total energy at -246.05 eV per cell.

The structure belongs to space group R-3m (No. 166, hexagonal axes); the cell edges are 5.3778, 5.3778 and 26.5152 Å and the angles 90.00°, 90.00° and 120.00°. The distinct sites, in fractional coordinates, are Sr at (0.0000, 0.0000, 0.0000), Pr at (0.0000, 0.0000, 0.1381), Rh at (0.0000, 0.0000, 0.3324), Rh at (0.0000, 0.0000, 0.5000) and Rh at (0.0018, 0.5009, 0.0816).